## P
Computed, not measured: a relaxed ScTa3Al crystal at the GGA-PBE level of DFT.

Output
For the theoretical density, the calculation gives 9.4 g/cm³.

a = 4.772 Å, b = 4.772 Å, c = 4.772 Å
α = 90.00°, β = 90.00°, γ = 90.00°
Fractional positions:
Ta 0.500 0.000 0.000
Ta 0.000 0.000 0.500
Ta 0.000 0.500 0.000
Al 0.000 0.000 0.000
Sc 0.500 0.500 0.500

## Q
Computed, not measured: a relaxed ScTa3Al crystal at the GGA-PBE level of DFT.

Output
For the theoretical density, the calculation gives 9.7 g/cm³.

a = 4.726 Å, b = 4.726 Å, c = 4.726 Å
α = 90.00°, β = 90.00°, γ = 90.00°
Fractional positions:
Sc 0.000 0.000 0.000
Ta 0.500 0.000 0.000
Ta 0.000 0.000 0.500
Ta 0.000 0.500 0.000
Al 0.500 0.500 0.500

What is the most stable structure shown above? It is P.